A plane-wave DFT calculation with PBE with a Hubbard U was carried out for an optimized crystal structure of NaPmFeO3.

Unit cell a=3.6706 b=11.3008 c=9.5959 alpha=90.00 beta=90.00 gamma=90.00
With the nearest neighbours (Å) after each atom.
Space group Cmcm (No. 63)
Unique sites:
Na 0.0000 0.1838 0.2500 [4 per cell]  2 O 2.49
Pm 0.0000 0.5000 0.0000 [4 per cell]  6 O 2.36-2.43
Fe 0.0000 0.0831 0.7500 [4 per cell]  2 O 1.90
O 0.0000 0.1217 0.5574 [8 per cell]  1 Fe 1.90
O 0.0000 0.4656 0.7500 [4 per cell]  2 Fe 2.27, 2 Pm 2.43, 2 Na 2.49

magnetic moment	3.968	μB/f.u.
calculated total energy	-6.45	eV per atom

***

A plane-wave DFT calculation with PBE with a Hubbard U was carried out for an optimized crystal structure of NaPm2FeO5.

Unit cell a=6.7034 b=6.7034 c=5.6544 alpha=90.00 beta=90.00 gamma=90.00
With the nearest neighbours (Å) after each atom.
Space group P4/mbm (No. 127)
Unique sites:
Na 0.0000 0.0000 0.0000 [2 per cell]  10 O 2.83-2.95
Pm 0.1778 0.3222 0.5000 [4 per cell]  8 O 2.32-2.57
Fe 0.0000 0.5000 0.0000 [2 per cell]  4 O 1.85
O 0.0000 0.0000 0.5000 [2 per cell]  4 Pm 2.47
O 0.1326 0.6326 0.2398 [8 per cell]  1 Fe 1.85

magnetic moment	2.988	μB/f.u.
calculated total energy	-7.03	eV per atom

***

A plane-wave DFT calculation with PBE with a Hubbard U was carried out for an optimized crystal structure of Na2Pm2FeO6.

Unit cell a=5.8976 b=10.2170 c=5.8308 alpha=90.00 beta=102.88 gamma=90.00
With the nearest neighbours (Å) after each atom.
Space group C2/m (No. 12)
Unique sites:
Na 0.0000 0.1413 0.0000 [4 per cell]  4 O 2.32-2.45
Pm 0.0000 0.3341 0.5000 [4 per cell]  6 O 2.31-2.44
Fe 0.0000 0.0000 0.5000 [2 per cell]  6 O 1.90-2.12
O 0.1917 0.1545 0.6938 [8 per cell]  1 Fe 2.12, 2 Pm 2.31-2.35, 1 Na 2.32
O 0.2231 0.0000 0.3092 [4 per cell]  1 Fe 1.90

magnetic moment	3.990	μB/f.u.
calculated total energy	-6.48	eV per atom

***

A plane-wave DFT calculation with PBE with a Hubbard U was carried out for an optimized crystal structure of NaPrFe4O12.

Unit cell a=5.3811 b=5.3811 c=7.6756 alpha=90.00 beta=90.00 gamma=90.00
With the nearest neighbours (Å) after each atom.
Space group P4/mmm (No. 123)
Unique sites:
Na 0.0000 0.0000 0.0000 [1 per cell]  12 O 2.69-2.79
Pr 0.5000 0.5000 0.5000 [1 per cell]  12 O 2.61-2.69
Fe 0.0000 0.5000 0.2443 [4 per cell]  6 O 1.88-1.96
O 0.0000 0.5000 0.0000 [2 per cell]  2 Fe 1.88
O 0.0000 0.5000 0.5000 [2 per cell]  2 Fe 1.96
O 0.2569 0.2569 0.2597 [8 per cell]  2 Fe 1.91

magnetic moment	19.444	μB/f.u.
calculated total energy	-5.96	eV per atom

***

A plane-wave DFT calculation with PBE with a Hubbard U was carried out for an optimized crystal structure of Na4Pr3FeO8.

Unit cell a=6.9870 b=6.9870 c=16.8739 alpha=90.00 beta=90.00 gamma=120.00
With the nearest neighbours (Å) after each atom.
Space group R-3m (No. 166, hexagonal axes)
Unique sites:
Na 0.0000 0.0000 0.0000 [3 per cell]  6 O 2.72
Na 0.0000 0.5000 0.0000 [9 per cell]  6 O 2.53-2.55
Pr 0.0000 0.5000 0.5000 [9 per cell]  6 O 2.37-2.42
Fe 0.0000 0.0000 0.5000 [3 per cell]  6 O 2.20
O 0.0000 0.0000 0.2406 [6 per cell]  3 Pr 2.37, 3 Na 2.55
O 0.0273 0.5136 0.2372 [18 per cell]  1 Fe 2.20, 2 Pr 2.42

magnetic moment	5.231	μB/f.u.
calculated total energy	-6.29	eV per atom

***

A plane-wave DFT calculation with PBE with a Hubbard U was carried out for an optimized crystal structure of NaFePtO6.

Unit cell a=5.1050 b=5.1050 c=10.3879 alpha=90.00 beta=90.00 gamma=120.00
With the nearest neighbours (Å) after each atom.
Space group P-31c (No. 163)
Unique sites:
Na 0.0000 0.0000 0.0000 [2 per cell]  6 O 2.42
Fe 0.3333 0.6667 0.2500 [2 per cell]  6 O 1.89
Pt 0.3333 0.6667 0.7500 [2 per cell]  6 O 1.98
O 0.0127 0.3683 0.1505 [12 per cell]  1 Fe 1.89, 1 Pt 1.98

magnetic moment	5.049	μB/f.u.
calculated total energy	-5.39	eV per atom

***

A plane-wave DFT calculation with PBE with a Hubbard U was carried out for an optimized crystal structure of Na2FePtO4.

Unit cell a=5.5656 b=3.1690 c=5.6171 alpha=90.00 beta=109.93 gamma=90.00
With the nearest neighbours (Å) after each atom.
Space group P2/m (No. 10)
Unique sites:
Na 0.0000 0.0000 0.0000 [1 per cell]  6 O 2.45-2.51
Na 0.5000 0.5000 0.0000 [1 per cell]  6 O 2.36-2.40
Fe 0.0000 0.5000 0.5000 [1 per cell]  6 O 2.14-2.25
Pt 0.5000 0.0000 0.5000 [1 per cell]  6 O 2.08-2.09
O 0.2449 0.0000 0.6995 [2 per cell]  1 Pt 2.09, 2 Fe 2.14
O 0.2857 0.5000 0.2967 [2 per cell]  2 Pt 2.08, 1 Fe 2.25

magnetic moment	3.994	μB/f.u.
calculated total energy	-5.48	eV per atom

***

A plane-wave DFT calculation with PBE with a Hubbard U was carried out for an optimized crystal structure of NaPuFe2O6.

Unit cell a=5.4254 b=5.4664 c=5.7707 alpha=90.25 beta=116.35 gamma=119.51
With the nearest neighbours (Å) after each atom.
Space group P1 (No. 1)
Unique sites:
Na 0.0000 0.0000 0.0000 [1 per cell]  6 O 2.26-2.53
Pu 0.9645 0.4820 0.4451 [1 per cell]  6 O 1.98-2.09
Fe 0.5532 0.2709 0.8412 [1 per cell]  4 O 2.04-2.16
Fe 0.5971 0.8127 0.3907 [1 per cell]  5 O 2.05-2.21
O 0.0907 0.2194 0.6492 [1 per cell]  1 Pu 2.05, 2 Fe 2.11-2.21
O 0.1092 0.4371 0.1966 [1 per cell]  1 Pu 1.98, 1 Fe 2.11
O 0.4323 0.8700 0.6489 [1 per cell]  1 Pu 2.09, 2 Fe 2.09-2.14
O 0.5237 0.1027 0.1729 [1 per cell]  1 Pu 2.06, 2 Fe 2.11-2.16, 1 Na 2.30
O 0.7697 0.6783 0.2004 [1 per cell]  1 Pu 2.02, 1 Fe 2.05
O 0.7804 0.5457 0.6619 [1 per cell]  1 Pu 2.03, 1 Fe 2.04

magnetic moment	9.034	μB/f.u.
calculated total energy	-7.53	eV per atom

***

A plane-wave DFT calculation with PBE with a Hubbard U was carried out for an optimized crystal structure of NaPu2FeO8.

Unit cell a=5.8806 b=5.8806 c=5.4586 alpha=90.00 beta=90.00 gamma=120.00
With the nearest neighbours (Å) after each atom.
Space group P-3 (No. 147)
Unique sites:
Na 0.0000 0.0000 0.0000 [1 per cell]  6 O 2.23
Pu 0.3333 0.6667 0.9335 [2 per cell]  1 O 1.84
Fe 0.0000 0.0000 0.5000 [1 per cell]  6 O 2.73, 2 Na 2.73
O 0.0576 0.3716 0.1675 [6 per cell]  2 Pu 2.11-2.26, 1 Na 2.23
O 0.3333 0.6667 0.5964 [2 per cell]  1 Pu 1.84

magnetic moment	6.025	μB/f.u.
calculated total energy	-7.81	eV per atom

***

A plane-wave DFT calculation with PBE with a Hubbard U was carried out for an optimized crystal structure of NaPuFeO6.

Unit cell a=5.2127 b=5.2127 c=10.4206 alpha=90.00 beta=90.00 gamma=120.00
With the nearest neighbours (Å) after each atom.
Space group P-31c (No. 163)
Unique sites:
Na 0.0000 0.0000 0.0000 [2 per cell]  6 O 2.46
Pu 0.3333 0.6667 0.2500 [2 per cell]  6 O 2.01
Fe 0.3333 0.6667 0.7500 [2 per cell]  6 O 1.92
O 0.0127 0.3732 0.6481 [12 per cell]  1 Fe 1.92, 1 Pu 2.01

magnetic moment	3.000	μB/f.u.
calculated total energy	-7.36	eV per atom

***

A plane-wave DFT calculation with PBE with a Hubbard U was carried out for an optimized crystal structure of Na4Pu3FeO12.

Unit cell a=8.2732 b=8.2732 c=8.2732 alpha=90.00 beta=90.00 gamma=90.00
With the nearest neighbours (Å) after each atom.
Space group Im-3m (No. 229)
Unique sites:
Na 0.2500 0.2500 0.2500 [8 per cell]  12 O 2.93
Pu 0.0000 0.0000 0.5000 [6 per cell]  6 O 2.05-2.07
Fe 0.0000 0.0000 0.0000 [2 per cell]  6 O 2.08
O 0.0000 0.0000 0.2518 [12 per cell]  1 Pu 2.05, 1 Fe 2.08
O 0.0000 0.2500 0.5000 [12 per cell]  2 Pu 2.07

magnetic moment	12.000	μB/f.u.
calculated total energy	-7.88	eV per atom

***

A plane-wave DFT calculation with PBE with a Hubbard U was carried out for an optimized crystal structure of Rb2NaFeO4.

Unit cell a=6.2688 b=6.2688 c=7.6427 alpha=90.00 beta=90.00 gamma=90.00
With the nearest neighbours (Å) after each atom.
Space group I-4 (No. 82)
Unique sites:
Rb 0.0000 0.0000 0.0000 [2 per cell]  8 O 3.09-3.30
Rb 0.0000 0.5000 0.2500 [2 per cell]  4 O 2.81
Na 0.0000 0.5000 0.7500 [2 per cell]  4 O 2.29
Fe 0.0000 0.0000 0.5000 [2 per cell]  4 O 1.76
O 0.1336 0.2017 0.6172 [8 per cell]  1 Fe 1.76

magnetic moment	3.000	μB/f.u.
calculated total energy	-4.80	eV per atom

***

A plane-wave DFT calculation with PBE with a Hubbard U was carried out for an optimized crystal structure of Na3FeRe2O9.

Unit cell a=5.4956 b=5.4956 c=6.7659 alpha=90.00 beta=90.00 gamma=120.00
With the nearest neighbours (Å) after each atom.
Space group P-3m1 (No. 164)
Unique sites:
Na 0.0000 0.0000 0.0000 [1 per cell]  12 O 2.72-2.75
Na 0.3333 0.6667 0.6682 [2 per cell]  12 O 2.75-2.80
Fe 0.0000 0.0000 0.5000 [1 per cell]  6 O 2.02
Re 0.3333 0.6667 0.1769 [2 per cell]  6 O 1.84-1.99
O 0.0000 0.5000 0.0000 [3 per cell]  2 Re 1.99
O 0.1703 0.3407 0.3231 [6 per cell]  1 Re 1.84, 1 Fe 2.02

magnetic moment	0.229	μB/f.u.
calculated total energy	-6.80	eV per atom

***

A plane-wave DFT calculation with PBE with a Hubbard U was carried out for an optimized crystal structure of Na2FeReO6.

Unit cell a=5.4513 b=5.4513 c=13.4137 alpha=90.00 beta=90.00 gamma=120.00
With the nearest neighbours (Å) after each atom.
Space group R-3 (No. 148, hexagonal axes)
Unique sites:
Na 0.0000 0.0000 0.2491 [6 per cell]  3 O 2.40
Fe 0.0000 0.0000 0.5000 [3 per cell]  6 O 2.02
Re 0.0000 0.0000 0.0000 [3 per cell]  6 O 1.90
O 0.0121 0.4453 0.7477 [18 per cell]  1 Re 1.90, 1 Fe 2.02

magnetic moment	5.055	μB/f.u.
calculated total energy	-6.69	eV per atom

***

A plane-wave DFT calculation with PBE with a Hubbard U was carried out for an optimized crystal structure of Na2FeRhO4.

Unit cell a=5.3254 b=3.1081 c=5.6539 alpha=90.00 beta=108.55 gamma=90.00
With the nearest neighbours (Å) after each atom.
Space group P2/m (No. 10)
Unique sites:
Na 0.0000 0.0000 0.0000 [1 per cell]  6 O 2.36-2.39
Na 0.5000 0.5000 0.0000 [1 per cell]  6 O 2.40-2.41
Fe 0.0000 0.5000 0.5000 [1 per cell]  6 O 2.07-2.08
Rh 0.5000 0.0000 0.5000 [1 per cell]  6 O 2.10-2.12
O 0.2293 0.0000 0.7045 [2 per cell]  2 Fe 2.08, 1 Rh 2.12
O 0.2630 0.5000 0.2987 [2 per cell]  1 Fe 2.07, 2 Rh 2.10

magnetic moment	5.021	μB/f.u.
calculated total energy	-5.79	eV per atom

***

A plane-wave DFT calculation with PBE with a Hubbard U was carried out for an optimized crystal structure of Na3FeRh3O8.

Unit cell a=6.1714 b=6.1714 c=16.2128 alpha=90.00 beta=90.00 gamma=120.00
With the nearest neighbours (Å) after each atom.
Space group R-3m (No. 166, hexagonal axes)
Unique sites:
Na 0.0000 0.5000 0.0000 [9 per cell]  6 O 2.42-2.43
Fe 0.0000 0.0000 0.5000 [3 per cell]  6 O 2.06
Rh 0.0000 0.5000 0.5000 [9 per cell]  6 O 2.07-2.08
O 0.0000 0.0000 0.2325 [6 per cell]  3 Rh 2.08
O 0.0012 0.5006 0.2313 [18 per cell]  1 Fe 2.06, 2 Rh 2.07

magnetic moment	6.120	μB/f.u.
calculated total energy	-5.91	eV per atom

***

A plane-wave DFT calculation with PBE with a Hubbard U was carried out for an optimized crystal structure of Na3FeRh2O6.

Unit cell a=5.3991 b=9.3493 c=5.5993 alpha=90.00 beta=108.72 gamma=90.00
With the nearest neighbours (Å) after each atom.
Space group C2/m (No. 12)
Unique sites:
Na 0.0000 0.0000 0.0000 [2 per cell]  6 O 2.39-2.40
Na 0.0000 0.3298 0.0000 [4 per cell]  6 O 2.39-2.41
Fe 0.0000 0.5000 0.5000 [2 per cell]  6 O 2.08
Rh 0.0000 0.1666 0.5000 [4 per cell]  6 O 2.10
O 0.2325 0.3346 0.7015 [8 per cell]  1 Fe 2.08, 2 Rh 2.10
O 0.2366 0.0000 0.7024 [4 per cell]  1 Fe 2.08, 2 Rh 2.10

magnetic moment	5.107	μB/f.u.
calculated total energy	-5.78	eV per atom

***

A plane-wave DFT calculation with PBE with a Hubbard U was carried out for an optimized crystal structure of Na3Fe2RhO6.

Unit cell a=5.2407 b=9.0615 c=5.5813 alpha=90.00 beta=108.39 gamma=90.00
With the nearest neighbours (Å) after each atom.
Space group C2/m (No. 12)
Unique sites:
Na 0.0000 0.0000 0.0000 [2 per cell]  6 O 2.33-2.40
Na 0.0000 0.3356 0.0000 [4 per cell]  6 O 2.34-2.40
Fe 0.0000 0.1660 0.5000 [4 per cell]  6 O 2.00-2.02
Rh 0.0000 0.5000 0.5000 [2 per cell]  6 O 2.08-2.09
O 0.2214 0.0000 0.6976 [4 per cell]  2 Fe 2.00, 1 Rh 2.09
O 0.2372 0.3271 0.6968 [8 per cell]  2 Fe 2.00-2.02, 1 Rh 2.08

magnetic moment	2.107	μB/f.u.
calculated total energy	-5.53	eV per atom

***

A plane-wave DFT calculation with PBE with a Hubbard U was carried out for an optimized crystal structure of Na4FeRh3O8.

Unit cell a=6.2397 b=6.2397 c=15.6394 alpha=90.00 beta=90.00 gamma=120.00
With the nearest neighbours (Å) after each atom.
Space group R-3m (No. 166, hexagonal axes)
Unique sites:
Na 0.0000 0.0000 0.0000 [3 per cell]  6 O 2.44
Na 0.0000 0.5000 0.0000 [9 per cell]  6 O 2.37-2.39
Fe 0.0000 0.0000 0.5000 [3 per cell]  6 O 2.02
Rh 0.0000 0.5000 0.5000 [9 per cell]  6 O 2.08-2.10
O 0.0000 0.0000 0.2331 [6 per cell]  3 Rh 2.08
O 0.0117 0.5059 0.2323 [18 per cell]  1 Fe 2.02, 2 Rh 2.10

magnetic moment	0.947	μB/f.u.
calculated total energy	-5.68	eV per atom